No. 1
The following is a DFT calculation (PBE) of a relaxed structure of B2C.

Lattice parameters (Å, degrees): 14.401 2.523 4.934 90.00 109.08 90.00
Space group C2/m (No. 12)
One atom of each set of equivalent atoms:
B  0.071  0.000  0.122 [4 per cell]
B  0.093  0.500  0.901 [4 per cell]
B  0.213  0.000  0.553 [4 per cell]
B  0.218  0.500  0.069 [4 per cell]
C  0.058  0.500  0.562 [4 per cell]
C  0.097  0.000  0.454 [4 per cell]

For the formation energy, the calculation gives 492 meV per atom. For the density of states at the Fermi level, the calculation gives 0.106 states/eV per atom. The energy above the most stable polymorph in this dataset is 0.307 eV/atom. As for the total energy: -7.034 eV per atom.

=====

No. 2
The following is a DFT calculation (PBE) of a relaxed structure of La3Tm13.

Lattice parameters (Å, degrees): 7.225 11.260 12.479 90.00 90.00 90.00
Space group Amm2 (No. 38)
One atom of each set of equivalent atoms:
La  0.000  0.000  0.000 [2 per cell]
La  0.255  0.000  0.746 [4 per cell]
Tm  0.000  0.000  0.495 [2 per cell]
Tm  0.000  0.248  0.166 [4 per cell]
Tm  0.250  0.000  0.251 [4 per cell]
Tm  0.251  0.245  0.416 [8 per cell]
Tm  0.500  0.000  0.001 [2 per cell]
Tm  0.500  0.000  0.495 [2 per cell]
Tm  0.500  0.243  0.166 [4 per cell]

For the formation energy, the calculation gives 18 meV per atom. For the density of states at the Fermi level, the calculation gives 1.705 states/eV per atom. As for the total energy: -4.539 eV per atom.

=====

No. 3
The following is a DFT calculation (PBE) of a relaxed structure of TiH2Pb.

Lattice parameters (Å, degrees): 5.850 5.850 5.850 90.00 90.00 90.00
Space group Fm-3m (No. 225)
One atom of each set of equivalent atoms:
Ti  0.000  0.000  0.000 [4 per cell]
H  0.250  0.250  0.250 [8 per cell]
Pb  0.000  0.000  0.500 [4 per cell]

For the density of states at the Fermi level, the calculation gives 0.557 states/eV per atom. The energy above the most stable polymorph in this dataset is 0.649 eV/atom. As for the total energy: -3.916 eV per atom.

=====

Number 1: spin magnetization 0.0 μB/f.u.. Number 2: spin magnetization 0.0 μB/f.u.. Number 3: spin magnetization 0.0 μB/f.u..